No. 1
# GGA-PBEsol CaHg2PtS, relaxed
# calculated total energy: -2.001 eV/atom
# space group: No. 123
# V: 31.67 A^3/atom
# calculated density: 7.01 g cm⁻³
data_CaHg2PtS
_cell_length_a 5.614
_cell_length_b 5.614
_cell_length_c 5.024
_cell_angle_alpha 90.00
_cell_angle_beta 90.00
_cell_angle_gamma 90.00
_space_group_name_H-M_alt 'P 1'
_space_group_IT_number 1
_space_group_name_Hall 'P 1'
loop_
_atom_site_label
_atom_site_type_symbol
_atom_site_fract_x
_atom_site_fract_y
_atom_site_fract_z
Ca1 Ca 0.000 0.000 0.000
Hg1 Hg 0.000 0.500 0.000
Hg2 Hg 0.500 0.000 0.000
Pt1 Pt 0.000 0.000 0.500
S1 S 0.500 0.500 0.500



No. 2
# GGA-PBEsol InSiNO2, relaxed
# calculated total energy: -4.995 eV/atom
# space group: No. 123
# V: 13.98 A^3/atom
# calculated density: 4.49 g cm⁻³
data_InSiNO2
_cell_length_a 4.096
_cell_length_b 4.096
_cell_length_c 4.166
_cell_angle_alpha 90.00
_cell_angle_beta 90.00
_cell_angle_gamma 90.00
_space_group_name_H-M_alt 'P 1'
_space_group_IT_number 1
_space_group_name_Hall 'P 1'
loop_
_atom_site_label
_atom_site_type_symbol
_atom_site_fract_x
_atom_site_fract_y
_atom_site_fract_z
In1 In 0.000 0.000 0.000
Si1 Si 0.500 0.500 0.500
N1 N 0.000 0.000 0.500
O1 O 0.000 0.500 0.000
O2 O 0.500 0.000 0.000



No. 3
# GGA-PBEsol LiZr, relaxed
# calculated total energy: -5.429 eV/atom
# E_form: 0.0990 eV per atom
# space group: No. 129
# relative energy among the computed polymorphs: 0 meV/atom
# V: 20.89 A^3/atom
# calculated density: 3.90 g cm⁻³
data_LiZr
_cell_length_a 3.015
_cell_length_b 3.015
_cell_length_c 9.192
_cell_angle_alpha 90.00
_cell_angle_beta 90.00
_cell_angle_gamma 90.00
_space_group_name_H-M_alt 'P 1'
_space_group_IT_number 1
_space_group_name_Hall 'P 1'
loop_
_atom_site_label
_atom_site_type_symbol
_atom_site_fract_x
_atom_site_fract_y
_atom_site_fract_z
Li1 Li 0.250 0.250 0.114
Li2 Li 0.750 0.750 0.886
Zr1 Zr 0.250 0.250 0.620
Zr2 Zr 0.750 0.750 0.380



No. 4
# GGA-PBEsol LaAl2Cl, relaxed
# calculated total energy: -3.844 eV/atom
# space group: No. 225
# relative energy among the computed polymorphs: 163 meV/atom
# V: 24.16 A^3/atom
# calculated density: 3.92 g cm⁻³
data_LaAl2Cl
_cell_length_a 5.151
_cell_length_b 5.151
_cell_length_c 5.151
_cell_angle_alpha 60.00
_cell_angle_beta 60.00
_cell_angle_gamma 60.00
_space_group_name_H-M_alt 'P 1'
_space_group_IT_number 1
_space_group_name_Hall 'P 1'
loop_
_atom_site_label
_atom_site_type_symbol
_atom_site_fract_x
_atom_site_fract_y
_atom_site_fract_z
La1 La 0.000 0.000 0.000
Al1 Al 0.250 0.250 0.250
Al2 Al 0.750 0.750 0.750
Cl1 Cl 0.500 0.500 0.500



No. 5
# GGA-PBEsol Y2TaSb, relaxed
# calculated total energy: -7.646 eV/atom
# space group: No. 10
# V: 23.58 A^3/atom
# calculated density: 8.46 g cm⁻³
data_Y2TaSb
_cell_length_a 5.427
_cell_length_b 3.254
_cell_length_c 5.755
_cell_angle_alpha 90.00
_cell_angle_beta 111.87
_cell_angle_gamma 90.00
_space_group_name_H-M_alt 'P 1'
_space_group_IT_number 1
_space_group_name_Hall 'P 1'
loop_
_atom_site_label
_atom_site_type_symbol
_atom_site_fract_x
_atom_site_fract_y
_atom_site_fract_z
Y1 Y 0.000 0.000 0.000
Y2 Y 0.000 0.500 0.500
Ta1 Ta 0.500 0.000 0.500
Sb1 Sb 0.500 0.500 0.000



No. 6
# GGA-PBEsol Ba5Li3, relaxed
# calculated total energy: -2.036 eV/atom
# E_form: 0.0445 eV per atom
# space group: No. 193
# relative energy among the computed polymorphs: 0 meV/atom
# V: 46.23 A^3/atom
# calculated density: 3.18 g cm⁻³
data_Ba5Li3
_cell_length_a 10.621
_cell_length_b 10.621
_cell_length_c 7.571
_cell_angle_alpha 90.00
_cell_angle_beta 90.00
_cell_angle_gamma 120.00
_space_group_name_H-M_alt 'P 1'
_space_group_IT_number 1
_space_group_name_Hall 'P 1'
loop_
_atom_site_label
_atom_site_type_symbol
_atom_site_fract_x
_atom_site_fract_y
_atom_site_fract_z
Ba1 Ba 0.000 0.247 0.250
Ba2 Ba 0.000 0.753 0.750
Ba3 Ba 0.247 0.000 0.250
Ba4 Ba 0.247 0.247 0.750
Ba5 Ba 0.333 0.667 0.000
Ba6 Ba 0.333 0.667 0.500
Ba7 Ba 0.667 0.333 0.000
Ba8 Ba 0.667 0.333 0.500
Ba9 Ba 0.753 0.000 0.750
Ba10 Ba 0.753 0.753 0.250
Li1 Li 0.000 0.406 0.750
Li2 Li 0.000 0.594 0.250
Li3 Li 0.406 0.000 0.750
Li4 Li 0.406 0.406 0.250
Li5 Li 0.594 0.000 0.250
Li6 Li 0.594 0.594 0.750